# 1
The following is a DFT calculation (PBE) of an optimized crystal structure of Si5Hg3Au12.

E = -64.84 eV/f.u.

Lattice parameters (Å, degrees): 15.2591 15.2591 15.2591 90.00 90.00 90.00
With the nearest neighbours (Å) after each atom.
Space group Ia-3d (No. 230)
Inequivalent atoms, fractional coordinates:
Si 0.0000 0.0000 0.0000 (multiplicity 16)  6 Au 2.47
Si 0.0000 0.2500 0.3750 (multiplicity 24)  4 Au 2.41
Hg 0.0000 0.2500 0.1250 (multiplicity 24)  8 Au 2.87-2.95
Au 0.0250 0.0650 0.6463 (multiplicity 96)  2 Si 2.41-2.47


# 2
The following is a DFT calculation (PBE) of an optimized crystal structure of SrIn6Ir3.

E = -46.11 eV/f.u.
ΔH_f (0 K) = -0.141 eV/atom

Lattice parameters (Å, degrees): 8.3105 4.5409 12.0738 90.00 99.56 90.00
With the nearest neighbours (Å) after each atom.
Space group P2_1/m (No. 11)
Inequivalent atoms, fractional coordinates:
Sr 0.0434 0.2500 0.2299 (multiplicity 2)  3 Ir 3.09-3.43, 3 In 3.42-3.44
In 0.1002 0.2500 0.5714 (multiplicity 2)  3 Ir 2.72-2.89
In 0.2565 0.7500 0.0270 (multiplicity 2)  5 Ir 2.70-2.80, 1 In 2.93
In 0.3362 0.7500 0.6951 (multiplicity 2)  2 Ir 2.71-2.74
In 0.3562 0.2500 0.8781 (multiplicity 2)  4 Ir 2.76-3.01, 2 In 3.09
In 0.3590 0.7500 0.2714 (multiplicity 2)  3 Ir 2.75-2.91, 1 In 2.93
In 0.3992 0.2500 0.4507 (multiplicity 2)  2 Ir 2.69, 2 In 2.95
Ir 0.0817 0.2500 0.9797 (multiplicity 2)  4 In 2.70-2.80, 2 Ir 2.73
Ir 0.2313 0.7500 0.4678 (multiplicity 2)  7 In 2.69-2.89
Ir 0.4123 0.2500 0.1309 (multiplicity 2)  8 In 2.71-3.01


# 3
The following is a DFT calculation (PBE) of an optimized crystal structure of Pm4Tm3Sn5.

E = -57.97 eV/f.u.
ΔH_f (0 K) = -0.462 eV/atom

Lattice parameters (Å, degrees): 15.7034 5.6877 9.1643 90.00 119.50 90.00
With the nearest neighbours (Å) after each atom.
Space group C2/m (No. 12)
Inequivalent atoms, fractional coordinates:
Pm 0.0729 0.0000 0.4092 (multiplicity 4)  1 Tm 3.18, 4 Sn 3.31-3.50, 2 Pm 3.43-3.55
Pm 0.1836 0.0000 0.8699 (multiplicity 4)  4 Sn 3.25-3.62, 1 Tm 3.49, 1 Pm 3.55
Tm 0.0000 0.5000 0.0000 (multiplicity 2)  4 Sn 2.84-3.03
Tm 0.2294 0.0000 0.2836 (multiplicity 4)  5 Sn 3.01-3.24, 1 Pm 3.18
Sn 0.0000 0.0000 0.0000 (multiplicity 2)  2 Tm 2.84
Sn 0.0764 0.5000 0.7199 (multiplicity 4)  2 Tm 3.07-3.33, 2 Pm 3.25
Sn 0.1875 0.5000 0.3341 (multiplicity 4)  4 Tm 3.01-3.08, 2 Pm 3.31-3.36


# 4
The following is a DFT calculation (PBE) of an optimized crystal structure of TlZn2Pt2.

E = -17.80 eV/f.u.
ΔH_f (0 K) = -0.161 eV/atom

Lattice parameters (Å, degrees): 4.0155 4.0155 11.6650 90.00 90.00 90.00
With the nearest neighbours (Å) after each atom.
Space group I4/mmm (No. 139)
Inequivalent atoms, fractional coordinates:
Tl 0.0000 0.0000 0.0000 (multiplicity 2)  8 Zn 3.12
Zn 0.0000 0.0000 0.3887 (multiplicity 4)  4 Pt 2.58, 1 Zn 2.60
Pt 0.0000 0.5000 0.2500 (multiplicity 4)  4 Zn 2.58, 4 Pt 2.84


# 5
The following is a DFT calculation (PBE) of an optimized crystal structure of SrHgCl.

E = -7.82 eV/f.u.
polymorph energy (0 for the lowest one) = 42.3 meV/atom

Lattice parameters (Å, degrees): 4.2738 4.2748 9.5833 90.00 90.00 90.00
With the nearest neighbours (Å) after each atom.
Space group Pmmn (No. 59, origin choice 2)
Inequivalent atoms, fractional coordinates:
Sr 0.2500 0.2500 0.2142 (multiplicity 2)  5 Cl 3.06-3.20
Hg 0.2500 0.7500 0.4991 (multiplicity 2)  4 Hg 3.02
Cl 0.2500 0.2500 0.8946 (multiplicity 2)  5 Sr 3.06-3.20


# 6
The following is a DFT calculation (PBE) of an optimized crystal structure of Rb2NaHg12Pd3.

E = -23.93 eV/f.u.
ΔH_f (0 K) = -0.082 eV/atom

Lattice parameters (Å, degrees): 9.9828 9.9828 21.5487 90.00 90.00 120.00
With the nearest neighbours (Å) after each atom.
Space group R-3m (No. 166, hexagonal axes)
Inequivalent atoms, fractional coordinates:
Rb 0.0000 0.0000 0.0968 (multiplicity 6)  9 Hg 3.60-3.97
Na 0.0000 0.0000 0.5000 (multiplicity 3)  6 Hg 3.14
Hg 0.0163 0.5081 0.8720 (multiplicity 18)  1 Pd 2.76
Hg 0.0525 0.5263 0.3300 (multiplicity 18)  2 Pd 2.68
Pd 0.0000 0.5000 0.0000 (multiplicity 9)  6 Hg 2.68-2.76